(1)
# NdY2Sc2, relaxed, DFT PBE
data_NdY2Sc2
_cell_length_a 4.515
_cell_length_b 4.515
_cell_length_c 14.901
_cell_angle_alpha 90.00
_cell_angle_beta 90.00
_cell_angle_gamma 90.00
_space_group_name_H-M_alt 'P 1'
_space_group_IT_number 1
loop_
_space_group_symop_operation_xyz
'x,y,z'
loop_
_atom_site_label
_atom_site_fract_x
_atom_site_fract_y
_atom_site_fract_z
_atom_site_occupancy
Nd1 0.000 0.000 0.000 1
Nd2 0.500 0.500 0.500 1
Y1 0.000 0.500 0.250 1
Y2 0.000 0.500 0.750 1
Y3 0.500 0.000 0.250 1
Y4 0.500 0.000 0.750 1
Sc1 0.000 0.000 0.407 1
Sc2 0.000 0.000 0.593 1
Sc3 0.500 0.500 0.093 1
Sc4 0.500 0.500 0.907 1
# Space group: I4/mmm
# Total magnetic moment (μB/cell): 0.83
# Raw total energy (eV per atom): -5.672

(2)
# NdSe, relaxed, DFT PBE
data_NdSe
_cell_length_a 5.975
_cell_length_b 5.975
_cell_length_c 5.975
_cell_angle_alpha 90.00
_cell_angle_beta 90.00
_cell_angle_gamma 90.00
_space_group_name_H-M_alt 'P 1'
_space_group_IT_number 1
loop_
_space_group_symop_operation_xyz
'x,y,z'
loop_
_atom_site_label
_atom_site_fract_x
_atom_site_fract_y
_atom_site_fract_z
_atom_site_occupancy
Nd1 0.000 0.000 0.000 1
Nd2 0.000 0.500 0.500 1
Nd3 0.500 0.000 0.500 1
Nd4 0.500 0.500 0.000 1
Se1 0.000 0.000 0.500 1
Se2 0.000 0.500 0.000 1
Se3 0.500 0.000 0.000 1
Se4 0.500 0.500 0.500 1
# Space group: Fm-3m
# Total magnetic moment (μB/cell): 0.01
# Raw total energy (eV per atom): -5.964

(3)
# NdSe, relaxed, DFT PBE
data_NdSe
_cell_length_a 5.974
_cell_length_b 5.974
_cell_length_c 5.974
_cell_angle_alpha 90.00
_cell_angle_beta 90.00
_cell_angle_gamma 90.00
_space_group_name_H-M_alt 'P 1'
_space_group_IT_number 1
loop_
_space_group_symop_operation_xyz
'x,y,z'
loop_
_atom_site_label
_atom_site_fract_x
_atom_site_fract_y
_atom_site_fract_z
_atom_site_occupancy
Nd1 0.000 0.000 0.000 1
Nd2 0.000 0.500 0.500 1
Nd3 0.500 0.000 0.500 1
Nd4 0.500 0.500 0.000 1
Se1 0.000 0.000 0.500 1
Se2 0.000 0.500 0.000 1
Se3 0.500 0.000 0.000 1
Se4 0.500 0.500 0.500 1
# Space group: Fm-3m
# Total magnetic moment (μB/cell): 0.00
# Raw total energy (eV per atom): -5.965

(4)
# NdSe, relaxed, DFT PBE
data_NdSe
_cell_length_a 4.198
_cell_length_b 4.211
_cell_length_c 4.226
_cell_angle_alpha 60.49
_cell_angle_beta 60.37
_cell_angle_gamma 60.25
_space_group_name_H-M_alt 'P 1'
_space_group_IT_number 1
loop_
_space_group_symop_operation_xyz
'x,y,z'
loop_
_atom_site_label
_atom_site_fract_x
_atom_site_fract_y
_atom_site_fract_z
_atom_site_occupancy
Nd1 0.000 0.000 0.000 1
Se1 0.500 0.500 0.500 1
# Space group: P-1
# Total magnetic moment (μB/cell): 0.00
# Raw total energy (eV per atom): -5.964

(5)
# Nd2Se, relaxed, DFT PBE
data_Nd2Se
_cell_length_a 6.311
_cell_length_b 6.311
_cell_length_c 6.311
_cell_angle_alpha 60.00
_cell_angle_beta 60.00
_cell_angle_gamma 60.00
_space_group_name_H-M_alt 'P 1'
_space_group_IT_number 1
loop_
_space_group_symop_operation_xyz
'x,y,z'
loop_
_atom_site_label
_atom_site_fract_x
_atom_site_fract_y
_atom_site_fract_z
_atom_site_occupancy
Nd1 0.000 0.000 0.000 1
Nd2 0.000 0.000 0.500 1
Nd3 0.000 0.500 0.000 1
Nd4 0.500 0.000 0.000 1
Se1 0.375 0.375 0.375 1
Se2 0.625 0.625 0.625 1
# Space group: Fd-3m
# Total magnetic moment (μB/cell): 0.01
# Raw total energy (eV per atom): -4.484

(6)
# Nd5Se6, relaxed, DFT PBE
data_Nd5Se6
_cell_length_a 7.286
_cell_length_b 7.286
_cell_length_c 7.267
_cell_angle_alpha 99.62
_cell_angle_beta 99.62
_cell_angle_gamma 119.85
_space_group_name_H-M_alt 'P 1'
_space_group_IT_number 1
loop_
_space_group_symop_operation_xyz
'x,y,z'
loop_
_atom_site_label
_atom_site_fract_x
_atom_site_fract_y
_atom_site_fract_z
_atom_site_occupancy
Nd1 0.000 0.000 0.000 1
Nd2 0.165 0.835 0.500 1
Nd3 0.336 0.664 0.000 1
Nd4 0.664 0.336 0.000 1
Nd5 0.835 0.165 0.500 1
Se1 0.087 0.417 0.251 1
Se2 0.253 0.253 0.744 1
Se3 0.417 0.087 0.251 1
Se4 0.583 0.913 0.749 1
Se5 0.747 0.747 0.256 1
Se6 0.913 0.583 0.749 1
# Space group: C2/m
# Total magnetic moment (μB/cell): 0.01
# Raw total energy (eV per atom): -5.957

(7)
# Nd10Se19, relaxed, DFT PBE
data_Nd10Se19
_cell_length_a 9.311
_cell_length_b 9.311
_cell_length_c 17.009
_cell_angle_alpha 90.00
_cell_angle_beta 90.00
_cell_angle_gamma 90.00
_space_group_name_H-M_alt 'P 1'
_space_group_IT_number 1
loop_
_space_group_symop_operation_xyz
'x,y,z'
loop_
_atom_site_label
_atom_site_fract_x
_atom_site_fract_y
_atom_site_fract_z
_atom_site_occupancy
Nd1 0.043 0.153 0.120 1
Nd2 0.054 0.147 0.606 1
Nd3 0.147 0.446 0.894 1
Nd4 0.153 0.457 0.380 1
Nd5 0.250 0.750 0.117 1
Nd6 0.250 0.750 0.617 1
Nd7 0.347 0.043 0.380 1
Nd8 0.353 0.054 0.894 1
Nd9 0.446 0.353 0.606 1
Nd10 0.457 0.347 0.120 1
Nd11 0.543 0.653 0.880 1
Nd12 0.554 0.647 0.394 1
Nd13 0.647 0.946 0.106 1
Nd14 0.653 0.957 0.620 1
Nd15 0.750 0.250 0.383 1
Nd16 0.750 0.250 0.883 1
Nd17 0.847 0.543 0.620 1
Nd18 0.853 0.554 0.106 1
Nd19 0.946 0.853 0.394 1
Nd20 0.957 0.847 0.880 1
Se1 0.030 0.673 0.250 1
Se2 0.049 0.153 0.429 1
Se3 0.052 0.149 0.937 1
Se4 0.064 0.619 0.751 1
Se5 0.119 0.936 0.251 1
Se6 0.149 0.448 0.563 1
Se7 0.153 0.451 0.071 1
Se8 0.173 0.970 0.750 1
Se9 0.250 0.250 0.250 1
Se10 0.250 0.750 0.436 1
Se11 0.250 0.750 0.936 1
Se12 0.327 0.530 0.750 1
Se13 0.347 0.049 0.071 1
Se14 0.351 0.052 0.563 1
Se15 0.381 0.564 0.251 1
Se16 0.436 0.881 0.751 1
Se17 0.448 0.351 0.937 1
Se18 0.451 0.347 0.429 1
Se19 0.470 0.827 0.250 1
Se20 0.530 0.173 0.750 1
Se21 0.549 0.653 0.571 1
Se22 0.552 0.649 0.063 1
Se23 0.564 0.119 0.249 1
Se24 0.619 0.436 0.749 1
Se25 0.649 0.948 0.437 1
Se26 0.653 0.951 0.929 1
Se27 0.673 0.470 0.250 1
Se28 0.750 0.250 0.064 1
Se29 0.750 0.250 0.564 1
Se30 0.750 0.750 0.750 1
Se31 0.827 0.030 0.250 1
Se32 0.847 0.549 0.929 1
Se33 0.851 0.552 0.437 1
Se34 0.881 0.064 0.749 1
Se35 0.936 0.381 0.249 1
Se36 0.948 0.851 0.063 1
Se37 0.951 0.847 0.571 1
Se38 0.970 0.327 0.750 1
# Space group: P4_2/n
# Total magnetic moment (μB/cell): 0.00
# Raw total energy (eV per atom): -5.614

(8)
# NdSe, relaxed, DFT PBE
data_NdSe
_cell_length_a 4.235
_cell_length_b 4.235
_cell_length_c 10.289
_cell_angle_alpha 90.00
_cell_angle_beta 90.00
_cell_angle_gamma 120.00
_space_group_name_H-M_alt 'P 1'
_space_group_IT_number 1
loop_
_space_group_symop_operation_xyz
'x,y,z'
loop_
_atom_site_label
_atom_site_fract_x
_atom_site_fract_y
_atom_site_fract_z
_atom_site_occupancy
Nd1 0.000 0.000 0.000 1
Nd2 0.333 0.667 0.667 1
Nd3 0.667 0.333 0.333 1
Se1 0.000 0.000 0.500 1
Se2 0.333 0.667 0.167 1
Se3 0.667 0.333 0.833 1
# Space group: R-3m
# Total magnetic moment (μB/cell): 0.01
# Raw total energy (eV per atom): -5.964

(9)
# Nd2Se, relaxed, DFT PBE
data_Nd2Se
_cell_length_a 4.343
_cell_length_b 4.343
_cell_length_c 8.718
_cell_angle_alpha 90.00
_cell_angle_beta 90.00
_cell_angle_gamma 90.00
_space_group_name_H-M_alt 'P 1'
_space_group_IT_number 1
loop_
_space_group_symop_operation_xyz
'x,y,z'
loop_
_atom_site_label
_atom_site_fract_x
_atom_site_fract_y
_atom_site_fract_z
_atom_site_occupancy
Nd1 0.250 0.250 0.133 1
Nd2 0.250 0.750 0.500 1
Nd3 0.750 0.250 0.500 1
Nd4 0.750 0.750 0.867 1
Se1 0.250 0.250 0.777 1
Se2 0.750 0.750 0.223 1
# Space group: P4/nmm
# Total magnetic moment (μB/cell): 0.01
# Raw total energy (eV per atom): -5.330

(10)
# NdSe, relaxed, DFT PBE
data_NdSe
_cell_length_a 6.621
_cell_length_b 6.621
_cell_length_c 6.621
_cell_angle_alpha 90.00
_cell_angle_beta 90.00
_cell_angle_gamma 90.00
_space_group_name_H-M_alt 'P 1'
_space_group_IT_number 1
loop_
_space_group_symop_operation_xyz
'x,y,z'
loop_
_atom_site_label
_atom_site_fract_x
_atom_site_fract_y
_atom_site_fract_z
_atom_site_occupancy
Nd1 0.000 0.000 0.000 1
Nd2 0.000 0.500 0.500 1
Nd3 0.500 0.000 0.500 1
Nd4 0.500 0.500 0.000 1
Se1 0.250 0.250 0.750 1
Se2 0.250 0.750 0.250 1
Se3 0.750 0.250 0.250 1
Se4 0.750 0.750 0.750 1
# Space group: F-43m
# Total magnetic moment (μB/cell): 0.01
# Raw total energy (eV per atom): -5.495

(11)
# NdSiSe3, relaxed, DFT PBE
data_NdSiSe3
_cell_length_a 6.917
_cell_length_b 7.809
_cell_length_c 11.580
_cell_angle_alpha 90.00
_cell_angle_beta 124.23
_cell_angle_gamma 90.00
_space_group_name_H-M_alt 'P 1'
_space_group_IT_number 1
loop_
_space_group_symop_operation_xyz
'x,y,z'
loop_
_atom_site_label
_atom_site_fract_x
_atom_site_fract_y
_atom_site_fract_z
_atom_site_occupancy
Nd1 0.212 0.126 0.252 1
Nd2 0.212 0.374 0.752 1
Nd3 0.788 0.626 0.248 1
Nd4 0.788 0.874 0.748 1
Si1 0.142 0.600 0.066 1
Si2 0.142 0.900 0.566 1
Si3 0.858 0.100 0.434 1
Si4 0.858 0.400 0.934 1
Se1 0.078 0.180 0.933 1
Se2 0.078 0.320 0.433 1
Se3 0.286 0.688 0.940 1
Se4 0.286 0.812 0.440 1
Se5 0.415 0.021 0.775 1
Se6 0.415 0.479 0.275 1
Se7 0.585 0.521 0.725 1
Se8 0.585 0.979 0.225 1
Se9 0.714 0.188 0.560 1
Se10 0.714 0.312 0.060 1
Se11 0.922 0.680 0.567 1
Se12 0.922 0.820 0.067 1
# Space group: P2_1/c
# Total magnetic moment (μB/cell): 0.01
# Raw total energy (eV per atom): -5.293

(12)
# Nd3SiSe2, relaxed, DFT PBE
data_Nd3SiSe2
_cell_length_a 4.261
_cell_length_b 5.991
_cell_length_c 12.808
_cell_angle_alpha 90.00
_cell_angle_beta 90.00
_cell_angle_gamma 90.00
_space_group_name_H-M_alt 'P 1'
_space_group_IT_number 1
loop_
_space_group_symop_operation_xyz
'x,y,z'
loop_
_atom_site_label
_atom_site_fract_x
_atom_site_fract_y
_atom_site_fract_z
_atom_site_occupancy
Nd1 0.000 0.000 0.000 1
Nd2 0.000 0.000 0.341 1
Nd3 0.000 0.000 0.659 1
Nd4 0.500 0.500 0.159 1
Nd5 0.500 0.500 0.500 1
Nd6 0.500 0.500 0.841 1
Si1 0.000 0.500 0.000 1
Si2 0.500 0.000 0.500 1
Se1 0.000 0.500 0.332 1
Se2 0.000 0.500 0.668 1
Se3 0.500 0.000 0.168 1
Se4 0.500 0.000 0.832 1
# Space group: Immm
# Total magnetic moment (μB/cell): 0.02
# Raw total energy (eV per atom): -5.987